No. 1
The following is a DFT calculation (PBE) of a relaxed La2TcW crystal.

```
La2TcW
1.0
0.0000 3.5098 3.5098
3.5098 0.0000 3.5098
3.5098 3.5098 0.0000
La Tc W
2 1 1
Direct
0.0000 0.0000 0.0000 La
0.2500 0.2500 0.2500 La
0.5000 0.5000 0.5000 Tc
0.7500 0.7500 0.7500 W
```

Summary:
The energy above the most stable polymorph in this dataset comes out at 0.443 eV/atom.



No. 2
The following is a DFT calculation (PBE) of a relaxed La2TcW crystal.

```
La2TcW
1.0
1.7011 -2.6235 0.0000
1.7011 2.6235 0.0000
0.0000 0.0000 9.6789
La Tc W
2 1 1
Direct
0.0000 0.0000 0.2372 La
0.0000 0.0000 0.7628 La
0.5000 0.5000 0.0000 Tc
0.5000 0.5000 0.5000 W
```

Summary:
The energy above the most stable polymorph in this dataset comes out at 0.537 eV/atom.



No. 3
The following is a DFT calculation (PBE) of a relaxed LaTcW2 crystal.

```
LaTcW2
1.0
1.4853 0.8575 9.8252
-1.4853 0.8575 9.8252
0.0000 -1.7150 9.8252
La Tc W
1 1 2
Direct
0.0000 0.0000 0.0000 La
0.2398 0.2398 0.2398 Tc
0.5053 0.5053 0.5053 W
0.7622 0.7622 0.7622 W
```

Summary:
The energy above the most stable polymorph in this dataset comes out at 0.263 eV/atom.



No. 4
The following is a DFT calculation (PBE) of a relaxed LaTc3W crystal.

```
LaTc3W
1.0
4.7895 0.0000 0.0000
0.0000 4.7895 0.0000
0.0000 0.0000 4.7895
La Tc W
1 3 1
Direct
0.0000 0.0000 0.0000 La
0.0000 0.5000 0.5000 Tc
0.5000 0.0000 0.5000 Tc
0.5000 0.5000 0.0000 Tc
0.5000 0.5000 0.5000 W
```

Summary:
The energy above the most stable polymorph in this dataset comes out at 0.000 eV/atom.



No. 5
The following is a DFT calculation (PBE) of a relaxed LaTcW2 crystal.

```
LaTcW2
1.0
3.1884 0.0000 0.0000
0.0000 3.1884 0.0000
0.0000 0.0000 7.6901
La Tc W
1 1 2
Direct
0.0000 0.0000 0.0000 La
0.5000 0.5000 0.3088 Tc
0.0000 0.0000 0.4950 W
0.5000 0.5000 0.6939 W
```

Summary:
The energy above the most stable polymorph in this dataset comes out at 0.000 eV/atom.



No. 6
The following is a DFT calculation (PBE) of a relaxed La2TcW crystal.

```
La2TcW
1.0
-4.0033 4.0033 2.9376
4.0033 -4.0033 2.9376
4.0033 4.0033 -2.9376
La Tc W
4 2 2
Direct
0.0961 0.1250 0.4711 La
0.3750 0.9039 0.0289 La
0.6539 0.6250 0.5289 La
0.8750 0.3461 0.9711 La
0.0000 0.0000 0.0000 Tc
0.7500 0.2500 0.5000 Tc
0.2500 0.7500 0.5000 W
0.5000 0.5000 0.0000 W
```

Summary:
The energy above the most stable polymorph in this dataset comes out at 0.868 eV/atom.



No. 7
The following is a DFT calculation (PBE) of a relaxed LaTcW2 crystal.

```
LaTcW2
1.0
1.5908 -2.3759 0.0000
1.5908 2.3759 0.0000
0.0000 0.0000 9.8130
La Tc W
1 1 2
Direct
0.0000 0.0000 0.0000 La
0.0000 0.0000 0.5000 Tc
0.5000 0.5000 0.2863 W
0.5000 0.5000 0.7137 W
```

Summary:
The energy above the most stable polymorph in this dataset comes out at 0.145 eV/atom.



No. 8
The following is a DFT calculation (PBE) of a relaxed La2TcW crystal.

```
La2TcW
1.0
3.1503 0.0000 0.0000
0.0000 4.7818 0.0000
-0.6410 0.0000 5.7238
La Tc W
2 1 1
Direct
0.2350 0.0000 0.2558 La
0.7650 0.0000 0.7442 La
0.0000 0.5000 0.5000 Tc
0.5000 0.5000 0.0000 W
```

Summary:
The energy above the most stable polymorph in this dataset comes out at 0.562 eV/atom.



Quick rundown of energy relative to the elements, same order as above: 0.614, 0.708, 0.646, 0.943, 0.383, 1.039, 0.528, 0.733 eV/atom
Quick rundown of V, same order as above: 21.618, 21.598, 18.771, 21.974, 19.544, 23.540, 18.545, 21.556 Å³ per atom